No. 1
Compound: KTc2
Source: Alexandria
Functional: PBE
Structure: relaxed

Geometry as POSCAR:
```
KTc2
1.0
3.2203 1.7697 -1.6028
-3.5238 1.9111 0.0437
2.6802 4.7002 10.5745
K Tc
2 4
direct
0.0000 0.0000 0.7500 K
0.0000 0.0000 0.2500 K
0.3333 0.6667 0.5108 Tc
0.3333 0.6667 0.9892 Tc
0.6667 0.3333 0.4892 Tc
0.6667 0.3333 0.0108 Tc
```

Values from the calculation:
**Energy relative to the elements**: 1053 meV per atom
**Offset from the most stable computed form**: 480 meV/atom
**N(E_F)**: 0.847 states/eV/atom

No. 2
Compound: Ca2HfGe
Source: Alexandria
Functional: PBE
Structure: relaxed

Geometry as POSCAR:
```
Ca2HfGe
1.0
9.8944 0.0000 0.0000
0.0000 9.8944 0.0000
4.9472 4.9472 2.6720
Ca Hf Ge
4 2 2
direct
0.3750 0.4877 0.7500 Ca
0.2377 0.6250 0.2500 Ca
0.5123 0.1250 0.2500 Ca
0.8750 0.7623 0.7500 Ca
0.0000 0.0000 0.0000 Hf
0.7500 0.2500 0.5000 Hf
0.2500 0.7500 0.5000 Ge
0.5000 0.5000 0.0000 Ge
```

Values from the calculation:
**Energy relative to the elements**: 300 meV per atom
**N(E_F)**: 1.617 states/eV/atom

No. 3
Compound: Y2Al3Si4
Source: Alexandria
Functional: PBE
Structure: relaxed

Geometry as POSCAR:
```
Y2Al3Si4
1.0
-3.4252 4.5195 1.1828
-1.0743 -2.7002 7.2066
7.5324 1.5502 1.7038
Si Y Al
8 4 6
direct
0.2970 0.2500 0.0940 Si
0.1857 0.9507 0.3713 Si
0.3143 0.4507 0.6287 Si
0.7030 0.7500 0.9060 Si
0.6857 0.5493 0.3713 Si
0.8143 0.0493 0.6287 Si
0.7970 0.2500 0.0940 Si
0.2030 0.7500 0.9060 Si
0.6134 0.9177 0.2267 Y
0.3866 0.0823 0.7733 Y
0.1134 0.5823 0.2267 Y
0.8866 0.4177 0.7733 Y
0.4670 0.2500 0.4340 Al
0.5000 0.5000 0.0000 Al
0.0000 0.0000 0.0000 Al
0.0330 0.7500 0.5660 Al
0.9670 0.2500 0.4340 Al
0.5330 0.7500 0.5660 Al
```

Values from the calculation:
**N(E_F)**: 0.412 states/eV/atom
**Formation energy without anion corrections**: -0.37 eV/atom

Repeat the third record exactly.
Compound: Y2Al3Si4
Source: Alexandria
Functional: PBE
Structure: relaxed

Geometry as POSCAR:
```
Y2Al3Si4
1.0
-3.4252 4.5195 1.1828
-1.0743 -2.7002 7.2066
7.5324 1.5502 1.7038
Si Y Al
8 4 6
direct
0.2970 0.2500 0.0940 Si
0.1857 0.9507 0.3713 Si
0.3143 0.4507 0.6287 Si
0.7030 0.7500 0.9060 Si
0.6857 0.5493 0.3713 Si
0.8143 0.0493 0.6287 Si
0.7970 0.2500 0.0940 Si
0.2030 0.7500 0.9060 Si
0.6134 0.9177 0.2267 Y
0.3866 0.0823 0.7733 Y
0.1134 0.5823 0.2267 Y
0.8866 0.4177 0.7733 Y
0.4670 0.2500 0.4340 Al
0.5000 0.5000 0.0000 Al
0.0000 0.0000 0.0000 Al
0.0330 0.7500 0.5660 Al
0.9670 0.2500 0.4340 Al
0.5330 0.7500 0.5660 Al
```

Values from the calculation:
**N(E_F)**: 0.412 states/eV/atom
**Formation energy without anion corrections**: -0.37 eV/atom

Q: Which of these has the lowest N(E_F)?
A: Y2Al3Si4

Q: N(E_F) of number 1 (KTc2)?
A: 0.847 states/eV/atom

Q: Look up the N(E_F) of the first one.
A: 0.847 states/eV/atom